Entry 1:
First-principles (GGA-PBE) data for crystalline MnCoAs at its relaxed geometry, as listed in Alexandria via LeMat-Bulk.

Cell lengths 2.9969, 3.5094, 7.4808 Å; angles 90.00, 90.00, 90.00 degrees
With the nearest neighbours (Å) after each atom.
Element x y z (fractional)
Mn: 0.0000 0.0000 0.0000  5 As 2.46-2.64, 5 Co 2.56-2.59
Mn: 0.5000 0.5000 0.5000  5 As 2.46-2.64, 5 Co 2.56-2.59
Co: 0.0000 0.0000 0.3416  5 As 2.46-2.64, 5 Mn 2.56-2.59
Co: 0.5000 0.5000 0.8416  5 As 2.46-2.64, 5 Mn 2.56-2.59
As: 0.0000 0.0000 0.6705  5 Co 2.46-2.64, 5 Mn 2.46-2.64
As: 0.5000 0.5000 0.1705  5 Co 2.46-2.64, 5 Mn 2.46-2.64

Calculated values
SG ... Imm2, No. 44
M_tot ... 1.42 μB per atom

=====

Entry 2:
First-principles (GGA-PBE) data for crystalline MgBi3Au at its relaxed geometry, as listed in Alexandria via LeMat-Bulk.

Cell lengths 5.5871, 5.5871, 5.5871 Å; angles 90.00, 90.00, 90.00 degrees
With the nearest neighbours (Å) after each atom.
Element x y z (fractional)
Mg: 0.0000 0.0000 0.0000  12 Bi 3.95
Bi: 0.0000 0.5000 0.5000  2 Au 2.79
Bi: 0.5000 0.0000 0.5000  2 Au 2.79
Bi: 0.5000 0.5000 0.0000  2 Au 2.79
Au: 0.5000 0.5000 0.5000  6 Bi 2.79

Calculated values
SG ... Pm-3m, No. 221
M_tot ... 0.00 μB per atom

=====

Entry 3:
First-principles (GGA-PBE) data for crystalline TaTiSb2 at its relaxed geometry, as listed in Alexandria via LeMat-Bulk.

Cell lengths 3.9585, 3.9585, 19.6901 Å; angles 90.00, 90.00, 120.00 degrees
With the nearest neighbours (Å) after each atom.
Element x y z (fractional)
Ta: 0.0000 0.0000 0.0000  6 Sb 2.83
Ta: 0.3333 0.6667 0.6667  6 Sb 2.83
Ta: 0.6667 0.3333 0.3333  6 Sb 2.83
Ti: 0.0000 0.0000 0.5000  6 Sb 2.80
Ti: 0.3333 0.6667 0.1667  6 Sb 2.80
Ti: 0.6667 0.3333 0.8333  6 Sb 2.80
Sb: 0.0000 0.0000 0.2487  3 Ti 2.80, 3 Ta 2.83
Sb: 0.0000 0.0000 0.7513  3 Ti 2.80, 3 Ta 2.83
Sb: 0.3333 0.6667 0.4180  3 Ti 2.80, 3 Ta 2.83
Sb: 0.3333 0.6667 0.9153  3 Ti 2.80, 3 Ta 2.83
Sb: 0.6667 0.3333 0.0847  3 Ti 2.80, 3 Ta 2.83
Sb: 0.6667 0.3333 0.5820  3 Ti 2.80, 3 Ta 2.83

Calculated values
SG ... R-3m, No. 166
Formation energy (no corrections) ... 0.52 eV/f.u.
M_tot ... 0.12 μB per atom

=====

Entry 4:
First-principles (GGA-PBE) data for crystalline Al2AgW at its relaxed geometry, as listed in Alexandria via LeMat-Bulk.

Cell lengths 8.9596, 2.7883, 5.2857 Å; angles 90.00, 100.09, 90.00 degrees
With the nearest neighbours (Å) after each atom.
Element x y z (fractional)
Al: 0.2497 0.0000 0.2307  3 W 2.73, 4 Al 2.79-2.81, 3 Ag 2.81-2.85
Al: 0.2503 0.5000 0.7693  3 W 2.73, 4 Al 2.79-2.81, 3 Ag 2.81-2.85
Al: 0.7503 0.0000 0.7693  3 W 2.73, 4 Al 2.79-2.81, 3 Ag 2.81-2.85
Al: 0.7497 0.5000 0.2307  3 W 2.73, 4 Al 2.79-2.81, 3 Ag 2.81-2.85
Ag: 0.0000 0.0000 0.5000  2 Ag 2.79, 6 Al 2.81-2.85, 4 W 2.99
Ag: 0.5000 0.5000 0.5000  2 Ag 2.79, 6 Al 2.81-2.85, 4 W 2.99
W: 0.0000 0.5000 0.0000  6 Al 2.73, 2 W 2.79, 4 Ag 2.99
W: 0.5000 0.0000 0.0000  6 Al 2.73, 2 W 2.79, 4 Ag 2.99

Calculated values
SG ... C2/m, No. 12
M_tot ... 0.00 μB per atom

=====

Entry 5:
First-principles (GGA-PBE) data for crystalline MgRhPbF2 at its relaxed geometry, as listed in Alexandria via LeMat-Bulk.

Cell lengths 4.2805, 4.2805, 5.1619 Å; angles 90.00, 90.00, 90.00 degrees
With the nearest neighbours (Å) after each atom.
Element x y z (fractional)
Mg: 0.0000 0.0000 0.0000  2 Rh 2.58
Rh: 0.0000 0.0000 0.5000  4 F 2.14
Pb: 0.5000 0.5000 0.0000  4 Mg 3.03, 8 F 3.35
F: 0.0000 0.5000 0.5000  2 Rh 2.14
F: 0.5000 0.0000 0.5000  2 Rh 2.14

Calculated values
SG ... P4/mmm, No. 123
Formation energy (no corrections) ... -3.28 eV/f.u.
M_tot ... 0.00 μB per atom

=====

Entry 6:
First-principles (GGA-PBE) data for crystalline MgNi2Rh2 at its relaxed geometry, as listed in Alexandria via LeMat-Bulk.

Cell lengths 7.1500, 7.1500, 2.7709 Å; angles 90.00, 90.00, 90.00 degrees
With the nearest neighbours (Å) after each atom.
Element x y z (fractional)
Mg: 0.0000 0.0000 0.0000  2 Mg 2.77, 4 Rh 2.80, 8 Ni 3.00
Mg: 0.5000 0.5000 0.0000  2 Mg 2.77, 4 Rh 2.80, 8 Ni 3.00
Ni: 0.1678 0.3322 0.5000  6 Rh 2.46-2.56
Ni: 0.3322 0.8322 0.5000  6 Rh 2.46-2.56
Ni: 0.6678 0.1678 0.5000  6 Rh 2.46-2.56
Ni: 0.8322 0.6678 0.5000  6 Rh 2.46-2.56
Rh: 0.1308 0.6308 0.0000  6 Ni 2.46-2.56, 1 Rh 2.64
Rh: 0.3692 0.1308 0.0000  6 Ni 2.46-2.56, 1 Rh 2.64
Rh: 0.6308 0.8692 0.0000  6 Ni 2.46-2.56, 1 Rh 2.64
Rh: 0.8692 0.3692 0.0000  6 Ni 2.46-2.56, 1 Rh 2.64

Calculated values
SG ... P4/mbm, No. 127
M_tot ... 0.00 μB per atom

=====

Entry 7:
First-principles (GGA-PBE) data for crystalline PmY3Zn2 at its relaxed geometry, as listed in Alexandria via LeMat-Bulk.

Cell lengths 3.5837, 3.5837, 12.3604 Å; angles 90.00, 90.00, 90.00 degrees
With the nearest neighbours (Å) after each atom.
Element x y z (fractional)
Pm: 0.0000 0.0000 0.0000  4 Pm 3.58, 8 Y 3.65
Y: 0.5000 0.5000 0.2128  4 Zn 3.10
Y: 0.5000 0.5000 0.5000  8 Zn 3.09
Y: 0.5000 0.5000 0.7872  4 Zn 3.10
Zn: 0.0000 0.0000 0.3568  8 Y 3.09-3.10
Zn: 0.0000 0.0000 0.6432  8 Y 3.09-3.10

Calculated values
SG ... P4/mmm, No. 123
M_tot ... 0.00 μB per atom

=====

Entry 8:
First-principles (GGA-PBE) data for crystalline Tb2AgGe at its relaxed geometry, as listed in Alexandria via LeMat-Bulk.

Cell lengths 4.3253, 4.3253, 19.9309 Å; angles 90.00, 90.00, 120.00 degrees
With the nearest neighbours (Å) after each atom.
Element x y z (fractional)
Tb: 0.0000 0.0000 0.2421  3 Ge 2.91, 3 Ag 3.09
Tb: 0.0000 0.0000 0.7579  3 Ge 2.91, 3 Ag 3.09
Tb: 0.3333 0.6667 0.4246  3 Ge 2.91, 3 Ag 3.09
Tb: 0.3333 0.6667 0.9088  3 Ge 2.91, 3 Ag 3.09
Tb: 0.6667 0.3333 0.0912  3 Ge 2.91, 3 Ag 3.09
Tb: 0.6667 0.3333 0.5754  3 Ge 2.91, 3 Ag 3.09
Ag: 0.0000 0.0000 0.0000  6 Tb 3.09
Ag: 0.3333 0.6667 0.6667  6 Tb 3.09
Ag: 0.6667 0.3333 0.3333  6 Tb 3.09
Ge: 0.0000 0.0000 0.5000  6 Tb 2.91
Ge: 0.3333 0.6667 0.1667  6 Tb 2.91
Ge: 0.6667 0.3333 0.8333  6 Tb 2.91

Calculated values
SG ... R-3m, No. 166
M_tot ... 0.00 μB per atom

=====

no.,total energy (eV/atom)
1,-6.963
2,-2.847
3,-6.868
4,-5.684
5,-3.936
6,-5.560
7,-4.686
8,-4.616